A relaxed SrNi3Sb crystal, computed with GGA-PBE.

Unit cell a=4.7728 b=4.7728 c=4.7728 alpha=90.00 beta=90.00 gamma=90.00
Atoms (fractional coordinates):
Sr (0.0000, 0.0000, 0.0000)
Ni (0.0000, 0.0000, 0.5000)
Ni (0.0000, 0.5000, 0.0000)
Ni (0.5000, 0.0000, 0.0000)
Sb (0.5000, 0.5000, 0.5000)

Calculated values
- space group = Pm-3m, No. 221
- crystal system = cubic
- relative energy among the computed polymorphs (eV per atom) = 1.310
- M_tot (μB/f.u.) = 0.00
- raw formation energy (kJ/mol of atoms) = 143

A relaxed CaOsBr2 crystal, computed with GGA-PBE.

Unit cell a=3.7916 b=3.7916 c=6.8040 alpha=90.00 beta=90.00 gamma=90.00
Atoms (fractional coordinates):
Ca (0.0000, 0.0000, 0.0000)
Os (0.5000, 0.5000, 0.2260)
Br (0.0000, 0.0000, 0.4222)
Br (0.5000, 0.5000, 0.8402)

Calculated values
- space group = P4mm, No. 99
- crystal system = tetragonal
- relative energy among the computed polymorphs (eV per atom) = 0.374
- M_tot (μB/f.u.) = 2.07
- raw formation energy (kJ/mol of atoms) = 14

A relaxed SmScRu crystal, computed with GGA-PBE.

Unit cell a=4.6871 b=4.6871 c=4.6871 alpha=60.00 beta=60.00 gamma=60.00
Atoms (fractional coordinates):
Sm (0.0000, 0.0000, 0.0000)
Sc (0.5000, 0.5000, 0.5000)
Ru (0.7500, 0.7500, 0.7500)

Calculated values
- space group = F-43m, No. 216
- ΔH_f (0 K) (kJ per mole of atoms) = -21.2
- crystal system = cubic
- relative energy among the computed polymorphs (eV per atom) = 0.079
- M_tot (μB/f.u.) = 0.00